Entry from Alexandria via LeMat-Bulk: Zn2CuTc after structural relaxation (PBE-GGA).

## Properties
- E (eV per atom) = -4.2050
- excess energy over the best structure of this formula in the dataset (eV/f.u.) = 0.17
- total magnetization (μB per formula unit) = 0.000
- energy of formation (eV per atom) = 0.048

abc: 8.846 8.846 8.846
angles: 17.65 17.65 17.65
Atoms (fractional coordinates):
Zn: 0.000 0.000 0.000
Zn: 0.172 0.172 0.172
Cu: 0.586 0.586 0.586
Tc: 0.420 0.420 0.420